# 1
This record from Alexandria via LeMat-Bulk describes PmPa2GeN5 after structural relaxation. The functional is GGA-PBE.

Its crystal system is monoclinic. Its final energy is -8.78 eV/atom. Its formation energy without anion corrections is -1004 meV per atom. The calculation puts the total magnetic moment at 2.3 Bohr magnetons per cell.

abc: 3.319 8.738 9.145
angles: 85.52 90.00 100.95
Atoms (fractional coordinates):
Pm  0.774  0.549  0.562
Pm  0.232  0.464  0.950
Pa  0.909  0.818  0.829
Pa  0.092  0.184  0.659
Pa  0.101  0.201  0.284
Pa  0.901  0.801  0.198
Ge  0.570  0.141  0.966
Ge  0.440  0.880  0.472
N  0.369  0.738  0.038
N  0.659  0.319  0.808
N  0.505  0.010  0.784
N  0.332  0.664  0.731
N  0.965  0.930  0.559
N  0.631  0.262  0.477
N  0.342  0.685  0.386
N  0.497  0.994  0.284
N  0.656  0.312  0.127
N  0.024  0.048  0.036



# 2
This record from Alexandria via LeMat-Bulk describes AgMo2P after structural relaxation. The functional is GGA-PBE.

Its crystal system is monoclinic. Its final energy is -7.26 eV/atom. Its formation energy is 0.22 eV per atom. The calculation puts the total magnetic moment at 0.0 Bohr magnetons per cell.

abc: 5.014 5.014 4.808
angles: 60.13 60.13 38.46
Atoms (fractional coordinates):
Ag  0.207  0.207  0.245
Mo  0.000  0.000  0.978
Mo  0.804  0.804  0.636
P  0.489  0.489  0.642



# 3
This record from Alexandria via LeMat-Bulk describes Pu4UGa after structural relaxation. The functional is GGA-PBE.

Its crystal system is orthorhombic. Its final energy is -11.60 eV/atom. Its formation energy is 0.34 eV per atom. The calculation puts the total magnetic moment at 0.0 Bohr magnetons per cell.

abc: 11.192 11.192 11.192
angles: 155.95 156.81 33.65
Atoms (fractional coordinates):
Pu  0.658  0.658  0.000
Pu  0.842  0.842  0.000
Pu  0.342  0.342  0.000
Pu  0.158  0.158  0.000
Pu  0.112  0.612  0.500
Pu  0.388  0.888  0.500
Pu  0.888  0.388  0.500
Pu  0.612  0.112  0.500
U  0.500  0.500  0.000
U  0.000  0.000  0.000
Ga  0.750  0.250  0.500
Ga  0.250  0.750  0.500



# 4
This record from Alexandria via LeMat-Bulk describes Pr2CdAu6 after structural relaxation. The functional is GGA-PBE.

Its crystal system is monoclinic. Its final energy is -3.90 eV/atom. Its formation energy is -0.55 eV per atom. The calculation puts the total magnetic moment at 0.0 Bohr magnetons per cell.

abc: 5.624 6.477 6.477
angles: 59.84 89.92 89.92
Atoms (fractional coordinates):
Pr  0.830  0.666  0.666
Pr  0.170  0.334  0.334
Cd  0.000  0.000  0.000
Au  0.323  0.371  0.815
Au  0.322  0.814  0.814
Au  0.323  0.815  0.371
Au  0.677  0.629  0.185
Au  0.678  0.186  0.186
Au  0.677  0.185  0.629



# 5
This record from Alexandria via LeMat-Bulk describes Li3Sn2Ge after structural relaxation. The functional is GGA-PBE.

Its crystal system is orthorhombic. Its final energy is -3.27 eV/atom. Its formation energy is -0.21 eV per atom. The calculation puts the total magnetic moment at 0.0 Bohr magnetons per cell.

abc: 4.790 8.413 5.816
angles: 90.00 90.00 90.00
Atoms (fractional coordinates):
Li  0.000  0.000  0.000
Li  0.500  0.500  0.500
Li  0.500  0.838  0.666
Li  0.500  0.162  0.334
Li  0.000  0.338  0.834
Li  0.000  0.662  0.166
Sn  0.500  0.846  0.170
Sn  0.000  0.346  0.330
Sn  0.000  0.654  0.670
Sn  0.500  0.154  0.830
Ge  0.000  0.000  0.500
Ge  0.500  0.500  0.000



# 6
This record from Alexandria via LeMat-Bulk describes Rb2HfW after structural relaxation. The functional is GGA-PBE.

Its crystal system is tetragonal. Its final energy is -4.41 eV/atom. Its formation energy is 1.80 eV per atom. The calculation puts the total magnetic moment at 6.2 Bohr magnetons per cell. The calculation puts the offset from the most stable computed form at 0 meV per atom.

abc: 13.300 13.300 9.726
angles: 46.87 46.87 90.00
Atoms (fractional coordinates):
Hf  0.500  0.500  0.000
Hf  0.250  0.750  0.500
Rb  0.779  0.125  0.250
Rb  0.971  0.625  0.250
Rb  0.375  0.221  0.750
Rb  0.875  0.029  0.750
W  0.000  0.000  0.000
W  0.750  0.250  0.500